(1)
An optimized crystal structure of CrIrO2F. Source: Alexandria via LeMat-Bulk, functional GGA+U.

a = 3.6835 Å, b = 3.6835 Å, c = 6.2232 Å
α = 90.00°, β = 90.00°, γ = 90.00°
With the nearest neighbours (Å) after each atom.
Sites, in units of the cell vectors:
Cr  0.0000  0.0000  0.0000  4 F 2.60
Ir  0.5000  0.5000  0.5000  4 O 1.84
O  0.0000  0.5000  0.5000  2 Ir 1.84
O  0.5000  0.0000  0.5000  2 Ir 1.84
F  0.5000  0.5000  0.0000  4 Cr 2.60

Space-group type = No. 123
E = -0.4631 Ry/atom

***

(2)
An optimized crystal structure of CrIrOF2. Source: Alexandria via LeMat-Bulk, functional GGA+U.

a = 4.4628 Å, b = 4.4628 Å, c = 3.7207 Å
α = 90.00°, β = 90.00°, γ = 90.00°
With the nearest neighbours (Å) after each atom.
Sites, in units of the cell vectors:
Cr  0.0000  0.0000  0.0000  8 F 2.91, 4 O 3.16
Ir  0.5000  0.5000  0.5000  2 O 1.86
O  0.5000  0.5000  0.0000  2 Ir 1.86
F  0.0000  0.5000  0.5000  2 Ir 2.23
F  0.5000  0.0000  0.5000  2 Ir 2.23

Space-group type = No. 123
E = -0.4175 Ry/atom

***

(3)
An optimized crystal structure of CrIr2PdF. Source: Alexandria via LeMat-Bulk, functional GGA+U.

a = 4.6281 Å, b = 4.6281 Å, c = 3.6149 Å
α = 90.00°, β = 90.00°, γ = 90.00°
With the nearest neighbours (Å) after each atom.
Sites, in units of the cell vectors:
Cr  0.0000  0.0000  0.0000  2 F 1.81
Ir  0.0000  0.5000  0.0000  2 Cr 2.31
Ir  0.5000  0.0000  0.0000  2 Cr 2.31
Pd  0.5000  0.5000  0.5000  8 Ir 2.94, 4 F 3.27
F  0.0000  0.0000  0.5000  2 Cr 1.81

Space-group type = No. 123
E = -0.4113 Ry/atom

***

(4)
An optimized crystal structure of Rb2CrIrF6. Source: Alexandria via LeMat-Bulk, functional GGA+U.

a = 6.1691 Å, b = 6.1691 Å, c = 6.1691 Å
α = 120.88°, β = 120.88°, γ = 88.47°
With the nearest neighbours (Å) after each atom.
Sites, in units of the cell vectors:
Rb  0.2500  0.7500  0.5000  12 F 3.05-3.09
Rb  0.7500  0.2500  0.5000  12 F 3.05-3.09
Cr  0.0000  0.0000  0.0000  4 F 2.04
Ir  0.5000  0.5000  0.0000  6 F 2.07-2.26
F  0.2371  0.2371  0.4743  1 Cr 2.04, 1 Ir 2.26
F  0.2371  0.7629  0.0000  1 Cr 2.04, 1 Ir 2.26
F  0.2653  0.2653  0.0000  1 Ir 2.07
F  0.7347  0.7347  0.0000  1 Ir 2.07
F  0.7629  0.2371  0.0000  1 Cr 2.04, 1 Ir 2.26
F  0.7629  0.7629  0.5257  1 Cr 2.04, 1 Ir 2.26

Space-group type = No. 139
E = -0.3679 Ry/atom

***

(5)
An optimized crystal structure of Cr2TeIrF. Source: Alexandria via LeMat-Bulk, functional GGA+U.

a = 5.1887 Å, b = 5.1887 Å, c = 4.8169 Å
α = 90.00°, β = 90.00°, γ = 90.00°
With the nearest neighbours (Å) after each atom.
Sites, in units of the cell vectors:
Cr  0.0000  0.5000  0.0000  2 Ir 2.59
Cr  0.5000  0.0000  0.0000  2 Ir 2.59
Te  0.0000  0.0000  0.5000  2 Ir 2.41
Ir  0.0000  0.0000  0.0000  2 Te 2.41, 4 Cr 2.59
F  0.5000  0.5000  0.5000  8 Cr 3.54, 4 Te 3.67

Space-group type = No. 123
E = -0.4086 Ry/atom

***

(6)
An optimized crystal structure of TlCr2IrF. Source: Alexandria via LeMat-Bulk, functional GGA+U.

a = 5.4349 Å, b = 5.4349 Å, c = 5.0405 Å
α = 90.00°, β = 90.00°, γ = 90.00°
With the nearest neighbours (Å) after each atom.
Sites, in units of the cell vectors:
Tl  0.0000  0.0000  0.0000  2 Ir 2.52, 4 Cr 2.72
Cr  0.0000  0.5000  0.0000  2 Tl 2.72
Cr  0.5000  0.0000  0.0000  2 Tl 2.72
Ir  0.0000  0.0000  0.5000  2 Tl 2.52
F  0.5000  0.5000  0.5000  8 Cr 3.71, 4 Ir 3.84

Space-group type = No. 123
E = -0.3256 Ry/atom

***

(7)
An optimized crystal structure of ZrCr2IrF. Source: Alexandria via LeMat-Bulk, functional GGA+U.

a = 5.1897 Å, b = 5.1897 Å, c = 4.7402 Å
α = 90.00°, β = 90.00°, γ = 90.00°
With the nearest neighbours (Å) after each atom.
Sites, in units of the cell vectors:
Zr  0.0000  0.0000  0.0000  2 Ir 2.37, 4 Cr 2.59
Cr  0.0000  0.5000  0.0000  2 Zr 2.59
Cr  0.5000  0.0000  0.0000  2 Zr 2.59
Ir  0.0000  0.0000  0.5000  2 Zr 2.37
F  0.5000  0.5000  0.5000  8 Cr 3.51, 4 Ir 3.67

Space-group type = No. 123
E = -0.3373 Ry/atom

***

(8)
An optimized crystal structure of K3Cr2F9. Source: Alexandria via LeMat-Bulk, functional GGA+U.

a = 5.9044 Å, b = 5.9044 Å, c = 15.5661 Å
α = 90.00°, β = 90.00°, γ = 120.00°
With the nearest neighbours (Å) after each atom.
Sites, in units of the cell vectors:
K  0.0000  0.0000  0.2500  12 F 2.96-3.03
K  0.0000  0.0000  0.7500  12 F 2.96-3.03
K  0.3333  0.6667  0.0635  9 F 2.93-2.99
K  0.3333  0.6667  0.4365  9 F 2.93-2.99
K  0.6667  0.3333  0.5635  9 F 2.93-2.99
K  0.6667  0.3333  0.9365  9 F 2.93-2.99
Cr  0.3333  0.6667  0.6604  6 F 1.88-2.04
Cr  0.3333  0.6667  0.8396  6 F 1.88-2.04
Cr  0.6667  0.3333  0.1604  6 F 1.88-2.04
Cr  0.6667  0.3333  0.3396  6 F 1.88-2.04
F  0.0427  0.5213  0.7500  2 Cr 2.04
F  0.1791  0.3582  0.5948  1 Cr 1.88
F  0.1791  0.3582  0.9052  1 Cr 1.88
F  0.1791  0.8209  0.5948  1 Cr 1.88
F  0.1791  0.8209  0.9052  1 Cr 1.88
F  0.3582  0.1791  0.0948  1 Cr 1.88
F  0.3582  0.1791  0.4052  1 Cr 1.88
F  0.4787  0.5213  0.7500  2 Cr 2.04
F  0.4787  0.9573  0.7500  2 Cr 2.04
F  0.5213  0.0427  0.2500  2 Cr 2.04
F  0.5213  0.4787  0.2500  2 Cr 2.04
F  0.6418  0.8209  0.5948  1 Cr 1.88
F  0.6418  0.8209  0.9052  1 Cr 1.88
F  0.8209  0.1791  0.0948  1 Cr 1.88
F  0.8209  0.1791  0.4052  1 Cr 1.88
F  0.8209  0.6418  0.0948  1 Cr 1.88
F  0.8209  0.6418  0.4052  1 Cr 1.88
F  0.9573  0.4787  0.2500  2 Cr 2.04

Space-group type = No. 194
E = -0.3898 Ry/atom